Entry 1:
# PBE Ba2ScF, optimized geometry
data_Ba2ScF
_chemical_formula_sum 'Ba8 Sc4 F4'
_cell_length_a 8.482
_cell_length_b 8.482
_cell_length_c 8.482
_cell_angle_alpha 90.00
_cell_angle_beta 90.00
_cell_angle_gamma 90.00
_space_group_name_H-M_alt 'F m -3 m'
_space_group_IT_number 225
_space_group_name_Hall '-F 4 2 3'
loop_
_atom_site_label
_atom_site_fract_x
_atom_site_fract_y
_atom_site_fract_z
Ba1 0.250 0.250 0.250
Sc1 0.000 0.000 0.000
F1 0.000 0.000 0.500
# Raw total energy, eV/f.u.: -13.2
# Energy above the most stable polymorph in this dataset, meV per atom: 693.8
# Raw formation energy, kJ/mol of formula units: -107
# Theoretical density, g/cm3: 3.69

=====

Entry 2:
# PBE PuHfAu2, optimized geometry
data_PuHfAu2
_chemical_formula_sum 'Pu3 Hf3 Au6'
_cell_length_a 3.5075
_cell_length_b 3.5075
_cell_length_c 26.1212
_cell_angle_alpha 90.00
_cell_angle_beta 90.00
_cell_angle_gamma 120.00
_space_group_name_H-M_alt 'R -3 m'
_space_group_IT_number 166
_space_group_name_Hall '-R 3 2"'
loop_
_atom_site_label
_atom_site_fract_x
_atom_site_fract_y
_atom_site_fract_z
Pu1 0.0000 0.0000 0.0000
Hf1 0.0000 0.0000 0.5000
Au1 0.0000 0.0000 0.2400
# Raw total energy, eV/f.u.: -31.7
# Energy above the most stable polymorph in this dataset, meV per atom: 198.7
# Energy of formation from the pure elements, eV per atom: -0.22
# Theoretical density, g/cm3: 14.61

=====

Entry 3:
# PBE Pu2Th2Pt3, optimized geometry
data_Pu2Th2Pt3
_chemical_formula_sum 'Pu8 Th8 Pt12'
_cell_length_a 17.222
_cell_length_b 4.067
_cell_length_c 13.260
_cell_angle_alpha 90.00
_cell_angle_beta 128.64
_cell_angle_gamma 90.00
_space_group_name_H-M_alt 'C 1 2/m 1'
_space_group_IT_number 12
loop_
_space_group_symop_operation_xyz
'x,y,z'
'-x,-y,-z'
'-x,y,-z'
'x,-y,z'
'x+1/2,y+1/2,z'
'-x+1/2,-y+1/2,-z'
'-x+1/2,y+1/2,-z'
'x+1/2,-y+1/2,z'
loop_
_atom_site_label
_atom_site_fract_x
_atom_site_fract_y
_atom_site_fract_z
Pu1 0.062 0.000 0.384
Pu2 0.105 0.500 0.630
Th1 0.123 0.500 0.912
Th2 0.163 0.500 0.247
Pt1 0.007 0.000 0.108
Pt2 0.198 0.000 0.823
Pt3 0.222 0.500 0.546
# Raw total energy, eV/f.u.: -67.0
# Energy of formation from the pure elements, eV per atom: -0.76
# Theoretical density, g/cm3: 14.08

=====

Entry 4:
# PBE Zr2CdMo2, optimized geometry
data_Zr2CdMo2
_chemical_formula_sum 'Zr4 Cd2 Mo4'
_cell_length_a 7.573
_cell_length_b 7.573
_cell_length_c 3.566
_cell_angle_alpha 90.00
_cell_angle_beta 90.00
_cell_angle_gamma 90.00
_space_group_name_H-M_alt 'P 4/m b m'
_space_group_IT_number 127
_space_group_name_Hall '-P 4 2ab'
loop_
_atom_site_label
_atom_site_fract_x
_atom_site_fract_y
_atom_site_fract_z
Zr1 0.185 0.315 0.000
Cd1 0.000 0.000 0.500
Mo1 0.109 0.609 0.500
# Raw total energy, eV/f.u.: -38.8
# Energy of formation from the pure elements, eV per atom: 0.17
# Theoretical density, g/cm3: 7.90

=====

Entry 5:
# PBE La3Ce2ThN6, optimized geometry
data_La3Ce2ThN6
_chemical_formula_sum 'La6 Ce4 Th2 N12'
_cell_length_a 6.343
_cell_length_b 10.982
_cell_length_c 6.377
_cell_angle_alpha 90.00
_cell_angle_beta 109.36
_cell_angle_gamma 90.00
_space_group_name_H-M_alt 'C 1 2/m 1'
_space_group_IT_number 12
loop_
_space_group_symop_operation_xyz
'x,y,z'
'-x,-y,-z'
'-x,y,-z'
'x,-y,z'
'x+1/2,y+1/2,z'
'-x+1/2,-y+1/2,-z'
'-x+1/2,y+1/2,-z'
'x+1/2,-y+1/2,z'
loop_
_atom_site_label
_atom_site_fract_x
_atom_site_fract_y
_atom_site_fract_z
La1 0.000 0.000 0.000
La2 0.000 0.332 0.000
Ce1 0.000 0.166 0.500
Th1 0.000 0.500 0.500
N1 0.240 0.000 0.726
N2 0.243 0.332 0.727
# Raw total energy, eV/f.u.: -101.5
# Raw formation energy, kJ/mol of formula units: -1686
# Theoretical density, g/cm3: 8.03

=====

Entry 6:
# PBE CuGe2I6, optimized geometry
data_CuGe2I6
_chemical_formula_sum 'Cu4 Ge8 I24'
_cell_length_a 16.288
_cell_length_b 14.641
_cell_length_c 10.526
_cell_angle_alpha 90.00
_cell_angle_beta 130.04
_cell_angle_gamma 90.00
_space_group_name_H-M_alt 'C 1 2/c 1'
_space_group_IT_number 15
loop_
_space_group_symop_operation_xyz
'x,y,z'
'-x,-y,-z'
'-x,y,-z+1/2'
'x,-y,z+1/2'
'x+1/2,y+1/2,z'
'-x+1/2,-y+1/2,-z'
'-x+1/2,y+1/2,-z+1/2'
'x+1/2,-y+1/2,z+1/2'
loop_
_atom_site_label
_atom_site_fract_x
_atom_site_fract_y
_atom_site_fract_z
Cu1 0.000 0.180 0.250
Ge1 0.172 0.436 0.294
I1 0.112 0.064 0.504
I2 0.125 0.256 0.210
I3 0.132 0.484 0.511
# Raw total energy, eV/f.u.: -24.4
# Raw formation energy, kJ/mol of formula units: -175
# Theoretical density, g/cm3: 3.35

=====

Entry 7:
# PBE Pa2TiV, optimized geometry
data_Pa2TiV
_chemical_formula_sum 'Pa2 Ti1 V1'
_cell_length_a 3.417
_cell_length_b 3.417
_cell_length_c 7.096
_cell_angle_alpha 90.00
_cell_angle_beta 90.00
_cell_angle_gamma 90.00
_space_group_name_H-M_alt 'P 4/m m m'
_space_group_IT_number 123
_space_group_name_Hall '-P 4 2'
loop_
_atom_site_label
_atom_site_fract_x
_atom_site_fract_y
_atom_site_fract_z
Pa1 0.000 0.000 0.234
Ti1 0.500 0.500 0.500
V1 0.500 0.500 0.000
# Raw total energy, eV/f.u.: -34.7
# Energy above the most stable polymorph in this dataset, meV per atom: 41.6
# Energy of formation from the pure elements, eV per atom: 0.33
# Theoretical density, g/cm3: 11.24

=====

Entry 8:
# PBE Na3Li2Cd7, optimized geometry
data_Na3Li2Cd7
_chemical_formula_sum 'Na9 Li6 Cd21'
_cell_length_a 5.9445
_cell_length_b 5.9445
_cell_length_c 28.7590
_cell_angle_alpha 90.00
_cell_angle_beta 90.00
_cell_angle_gamma 120.00
_space_group_name_H-M_alt 'R -3 m'
_space_group_IT_number 166
_space_group_name_Hall '-R 3 2"'
loop_
_atom_site_label
_atom_site_fract_x
_atom_site_fract_y
_atom_site_fract_z
Na1 0.0000 0.0000 0.0000
Na2 0.0000 0.0000 0.1427
Li1 0.0000 0.0000 0.3330
Cd1 0.0000 0.0000 0.5000
Cd2 0.0029 0.5015 0.9194
# Raw total energy, eV/f.u.: -15.8
# Energy of formation from the pure elements, eV per atom: -0.14
# Theoretical density, g/cm3: 4.92

=====

Entry 9:
# PBE AcDyTh2, optimized geometry
data_AcDyTh2
_chemical_formula_sum 'Ac1 Dy1 Th2'
_cell_length_a 5.136
_cell_length_b 5.136
_cell_length_c 5.249
_cell_angle_alpha 90.00
_cell_angle_beta 90.00
_cell_angle_gamma 90.00
_space_group_name_H-M_alt 'P 4/m m m'
_space_group_IT_number 123
_space_group_name_Hall '-P 4 2'
loop_
_atom_site_label
_atom_site_fract_x
_atom_site_fract_y
_atom_site_fract_z
Ac1 0.000 0.000 0.000
Dy1 0.500 0.500 0.000
Th1 0.000 0.500 0.500
# Raw total energy, eV/f.u.: -23.0
# Energy above the most stable polymorph in this dataset, meV per atom: 21.5
# Energy of formation from the pure elements, eV per atom: 0.14
# Theoretical density, g/cm3: 10.24

=====

Entry 10:
# PBE Cd5Ag2Sn, optimized geometry
data_Cd5Ag2Sn
_chemical_formula_sum 'Cd10 Ag4 Sn2'
_cell_length_a 7.644
_cell_length_b 7.644
_cell_length_c 6.048
_cell_angle_alpha 90.00
_cell_angle_beta 90.00
_cell_angle_gamma 90.00
_space_group_name_H-M_alt 'I 4/m m m'
_space_group_IT_number 139
_space_group_name_Hall '-I 4 2'
loop_
_atom_site_label
_atom_site_fract_x
_atom_site_fract_y
_atom_site_fract_z
Cd1 0.000 0.000 0.000
Cd2 0.250 0.250 0.250
Ag1 0.000 0.500 0.000
Sn1 0.000 0.000 0.500
# Raw total energy, eV/f.u.: -14.0
# Energy above the most stable polymorph in this dataset, meV per atom: 25.1
# Energy of formation from the pure elements, eV per atom: 0.04
# Theoretical density, g/cm3: 8.43

=====

Entry 11:
# PBE CuHgSe, optimized geometry
data_CuHgSe
_chemical_formula_sum 'Cu1 Hg1 Se1'
_cell_length_a 3.9565
_cell_length_b 3.9565
_cell_length_c 4.7626
_cell_angle_alpha 90.00
_cell_angle_beta 90.00
_cell_angle_gamma 120.00
_space_group_name_H-M_alt 'P 3 m 1'
_space_group_IT_number 156
loop_
_space_group_symop_operation_xyz
'x,y,z'
'-y,x-y,z'
'-x+y,-x,z'
'-y,-x,z'
'-x+y,y,z'
'x,x-y,z'
loop_
_atom_site_label
_atom_site_fract_x
_atom_site_fract_y
_atom_site_fract_z
Cu1 0.0000 0.0000 0.0000
Hg1 0.3333 0.6667 0.3706
Se1 0.6667 0.3333 0.8284
# Raw total energy, eV/f.u.: -7.8
# Energy above the most stable polymorph in this dataset, meV per atom: 75.9
# Raw formation energy, kJ/mol of formula units: 8
# Theoretical density, g/cm3: 8.82

=====

Entry 12:
# PBE Th8RePd5, optimized geometry
data_Th8RePd5
_chemical_formula_sum 'Th16 Re2 Pd10'
_cell_length_a 8.966
_cell_length_b 8.966
_cell_length_c 9.108
_cell_angle_alpha 90.00
_cell_angle_beta 90.00
_cell_angle_gamma 90.00
_space_group_name_H-M_alt 'I -4'
_space_group_IT_number 82
loop_
_space_group_symop_operation_xyz
'x,y,z'
'y,-x,-z'
'-x,-y,z'
'-y,x,-z'
'x+1/2,y+1/2,z+1/2'
'y+1/2,-x+1/2,-z+1/2'
'-x+1/2,-y+1/2,z+1/2'
'-y+1/2,x+1/2,-z+1/2'
loop_
_atom_site_label
_atom_site_fract_x
_atom_site_fract_y
_atom_site_fract_z
Th1 0.044 0.185 0.194
Th2 0.067 0.298 0.567
Re1 0.000 0.000 0.500
Pd1 0.000 0.500 0.250
Pd2 0.112 0.259 0.886
# Raw total energy, eV/f.u.: -104.7
# Energy of formation from the pure elements, eV per atom: -0.49
# Theoretical density, g/cm3: 11.68

=====

Question: Look up the raw total energy of the tenth one.
Answer: -14.0 eV/f.u.